No. 1
The following is a PBEsol calculation of a geometry-optimized LaNiRh2 structure, from Alexandria via LeMat-Bulk.

Summary:
- Density of states at the Fermi level: 5.44 states/eV/f.u.
- Calculated formation energy: -0.14 eV/atom
- Total moment: 0.17 μB per atom

a b c (Å): 4.873 4.873 4.873
angles (deg): 130.89 130.89 71.99
Fractional coordinates of all 4 atoms:
La  0.000  0.000  0.000
Ni  0.750  0.250  0.500
Rh  0.250  0.750  0.500
Rh  0.500  0.500  0.000

No. 2
The following is a PBEsol calculation of a geometry-optimized MnCoTe2F structure, from Alexandria via LeMat-Bulk.

Summary:
- Uncorrected formation energy: 0.162 eV/atom
- Density of states at the Fermi level: 4.50 states/eV/f.u.
- Total moment: 1.17 μB per atom

a b c (Å): 4.739 4.739 4.767
angles (deg): 90.00 90.00 90.00
Fractional coordinates of all 5 atoms:
Mn  0.000  0.000  0.000
Co  0.000  0.000  0.500
Te  0.000  0.500  0.500
Te  0.500  0.000  0.500
F  0.500  0.500  0.000

No. 3
The following is a PBEsol calculation of a geometry-optimized Li2BRh2 structure, from Alexandria via LeMat-Bulk.

Summary:
- Density of states at the Fermi level: 2.20 states/eV/f.u.
- Calculated formation energy: -0.26 eV/atom
- Total moment: 0.00 μB per atom

a b c (Å): 5.465 5.465 4.274
angles (deg): 90.00 90.00 90.00
Fractional coordinates of all 10 atoms:
Li  0.165  0.335  0.000
Li  0.335  0.835  0.000
Li  0.665  0.165  0.000
Li  0.835  0.665  0.000
B  0.000  0.000  0.500
B  0.500  0.500  0.500
Rh  0.163  0.663  0.500
Rh  0.337  0.163  0.500
Rh  0.663  0.837  0.500
Rh  0.837  0.337  0.500

No. 4
The following is a PBEsol calculation of a geometry-optimized EuGa3B4O12 structure, from Alexandria via LeMat-Bulk.

Summary:
- Uncorrected formation energy: -2.309 eV/atom
- Density of states at the Fermi level: 19.34 states/eV/f.u.
- Total moment: 0.30 μB per atom

a b c (Å): 6.029 6.029 6.029
angles (deg): 104.06 104.06 104.06
Fractional coordinates of all 20 atoms:
Eu  0.000  0.000  0.000
Ga  0.000  0.552  0.448
Ga  0.448  0.000  0.552
Ga  0.552  0.448  0.000
B  0.055  0.500  0.945
B  0.500  0.500  0.500
B  0.500  0.945  0.055
B  0.945  0.055  0.500
O  0.028  0.627  0.785
O  0.091  0.909  0.500
O  0.215  0.373  0.972
O  0.354  0.646  0.500
O  0.373  0.972  0.215
O  0.500  0.091  0.909
O  0.500  0.354  0.646
O  0.627  0.785  0.028
O  0.646  0.500  0.354
O  0.785  0.028  0.627
O  0.909  0.500  0.091
O  0.972  0.215  0.373

No. 5
The following is a PBEsol calculation of a geometry-optimized TlW2Au structure, from Alexandria via LeMat-Bulk.

Summary:
- Density of states at the Fermi level: 2.45 states/eV/f.u.
- Calculated formation energy: 0.79 eV/atom
- Total moment: 0.00 μB per atom

a b c (Å): 2.794 4.655 5.491
angles (deg): 90.00 103.77 90.00
Fractional coordinates of all 4 atoms:
Tl  0.000  0.000  0.000
W  0.246  0.500  0.743
W  0.754  0.500  0.257
Au  0.500  0.000  0.500

No. 6
The following is a PBEsol calculation of a geometry-optimized NaTaPtRh2 structure, from Alexandria via LeMat-Bulk.

Summary:
- Density of states at the Fermi level: 3.00 states/eV/f.u.
- Calculated formation energy: 1.84 eV/atom
- Total moment: 0.00 μB per atom

a b c (Å): 4.282 4.282 4.505
angles (deg): 90.00 90.00 90.00
Fractional coordinates of all 5 atoms:
Na  0.000  0.000  0.000
Ta  0.000  0.000  0.500
Pt  0.500  0.500  0.500
Rh  0.000  0.500  0.000
Rh  0.500  0.000  0.000

No. 7
The following is a PBEsol calculation of a geometry-optimized TiTe2Ru structure, from Alexandria via LeMat-Bulk.

Summary:
- Uncorrected formation energy: 0.288 eV/atom
- Density of states at the Fermi level: 5.33 states/eV/f.u.
- Total moment: 0.15 μB per atom

a b c (Å): 9.181 9.181 9.181
angles (deg): 20.94 20.94 20.94
Fractional coordinates of all 4 atoms:
Ti  0.000  0.000  0.000
Te  0.099  0.099  0.099
Te  0.901  0.901  0.901
Ru  0.500  0.500  0.500

No. 8
The following is a PBEsol calculation of a geometry-optimized SbP2Cl structure, from Alexandria via LeMat-Bulk.

Summary:
- Uncorrected formation energy: 0.317 eV/atom
- Density of states at the Fermi level: 2.46 states/eV/f.u.
- Total moment: 0.00 μB per atom

a b c (Å): 6.723 6.723 6.723
angles (deg): 33.47 33.47 33.47
Fractional coordinates of all 4 atoms:
Sb  0.000  0.000  0.000
P  0.256  0.256  0.256
P  0.744  0.744  0.744
Cl  0.500  0.500  0.500

No. 9
The following is a PBEsol calculation of a geometry-optimized Li2AlIr structure, from Alexandria via LeMat-Bulk.

Summary:
- Density of states at the Fermi level: 1.73 states/eV/f.u.
- Calculated formation energy: -0.34 eV/atom
- Total moment: 0.00 μB per atom

a b c (Å): 2.805 4.576 4.294
angles (deg): 90.00 93.56 90.00
Fractional coordinates of all 4 atoms:
Li  0.244  0.000  0.226
Li  0.756  0.000  0.774
Al  0.000  0.500  0.500
Ir  0.500  0.500  0.000

No. 10
The following is a PBEsol calculation of a geometry-optimized Lu5Ge3 structure, from Alexandria via LeMat-Bulk.

Summary:
- Density of states at the Fermi level: 3.70 states/eV/f.u.
- Calculated formation energy: -0.85 eV/atom
- Total moment: 0.00 μB per atom

a b c (Å): 8.187 8.187 6.119
angles (deg): 90.00 90.00 120.00
Fractional coordinates of all 16 atoms:
Lu  0.000  0.241  0.250
Lu  0.000  0.759  0.750
Lu  0.241  0.000  0.250
Lu  0.241  0.241  0.750
Lu  0.333  0.667  0.000
Lu  0.333  0.667  0.500
Lu  0.667  0.333  0.000
Lu  0.667  0.333  0.500
Lu  0.759  0.000  0.750
Lu  0.759  0.759  0.250
Ge  0.000  0.395  0.750
Ge  0.000  0.605  0.250
Ge  0.395  0.000  0.750
Ge  0.395  0.395  0.250
Ge  0.605  0.000  0.250
Ge  0.605  0.605  0.750

No. 11
The following is a PBEsol calculation of a geometry-optimized ScRe2Ni structure, from Alexandria via LeMat-Bulk.

Summary:
- Density of states at the Fermi level: 7.69 states/eV/f.u.
- Calculated formation energy: 0.47 eV/atom
- Total moment: 0.00 μB per atom

a b c (Å): 4.328 4.328 4.328
angles (deg): 60.00 60.00 60.00
Fractional coordinates of all 4 atoms:
Sc  0.000  0.000  0.000
Re  0.250  0.250  0.250
Re  0.750  0.750  0.750
Ni  0.500  0.500  0.500

No. 12
The following is a PBEsol calculation of a geometry-optimized In2Hg structure, from Alexandria via LeMat-Bulk.

Summary:
- Density of states at the Fermi level: 1.36 states/eV/f.u.
- Calculated formation energy: -0.01 eV/atom
- Total moment: 0.00 μB per atom

a b c (Å): 6.094 6.094 7.898
angles (deg): 108.54 108.54 31.96
Fractional coordinates of all 6 atoms:
In  0.146  0.146  0.044
In  0.175  0.175  0.615
In  0.825  0.825  0.385
In  0.854  0.854  0.956
Hg  0.477  0.477  0.718
Hg  0.523  0.523  0.282

No. 13
The following is a PBEsol calculation of a geometry-optimized Sc2GeP structure, from Alexandria via LeMat-Bulk.

Summary:
- Density of states at the Fermi level: 3.70 states/eV/f.u.
- Calculated formation energy: -0.72 eV/atom
- Total moment: 0.00 μB per atom

a b c (Å): 4.654 4.654 4.654
angles (deg): 60.00 60.00 60.00
Fractional coordinates of all 4 atoms:
Sc  0.250  0.250  0.250
Sc  0.750  0.750  0.750
Ge  0.000  0.000  0.000
P  0.500  0.500  0.500

No. 14
The following is a PBEsol calculation of a geometry-optimized Cr3SiW structure, from Alexandria via LeMat-Bulk.

Summary:
- Uncorrected formation energy: 1.132 eV/atom
- Density of states at the Fermi level: 5.92 states/eV/f.u.
- Total moment: 0.50 μB per atom

a b c (Å): 4.137 4.137 4.137
angles (deg): 90.00 90.00 90.00
Fractional coordinates of all 5 atoms:
Cr  0.000  0.000  0.500
Cr  0.000  0.500  0.000
Cr  0.500  0.000  0.000
Si  0.000  0.000  0.000
W  0.500  0.500  0.500

No. 15
The following is a PBEsol calculation of a geometry-optimized MgTlIn2 structure, from Alexandria via LeMat-Bulk.

Summary:
- Density of states at the Fermi level: 1.83 states/eV/f.u.
- Calculated formation energy: -0.04 eV/atom
- Total moment: 0.00 μB per atom

a b c (Å): 3.356 4.561 6.491
angles (deg): 90.00 90.14 90.00
Fractional coordinates of all 4 atoms:
Mg  0.000  0.000  0.000
Tl  0.000  0.000  0.500
In  0.499  0.500  0.761
In  0.501  0.500  0.239

No. 16
The following is a PBEsol calculation of a geometry-optimized LiMg structure, from Alexandria via LeMat-Bulk.

Summary:
- Density of states at the Fermi level: 0.99 states/eV/f.u.
- Calculated formation energy: 0.00 eV/atom
- Total moment: 0.00 μB per atom

a b c (Å): 5.465 5.465 5.465
angles (deg): 90.00 90.00 90.00
Fractional coordinates of all 8 atoms:
Li  0.098  0.402  0.598
Li  0.402  0.598  0.098
Li  0.598  0.098  0.402
Li  0.902  0.902  0.902
Mg  0.098  0.902  0.402
Mg  0.402  0.098  0.902
Mg  0.598  0.598  0.598
Mg  0.902  0.402  0.098

No. 17
The following is a PBEsol calculation of a geometry-optimized Cu2TeSe structure, from Alexandria via LeMat-Bulk.

Summary:
- Uncorrected formation energy: -0.034 eV/atom
- Density of states at the Fermi level: 1.99 states/eV/f.u.
- Total moment: 0.00 μB per atom

a b c (Å): 3.674 3.674 6.418
angles (deg): 106.57 106.57 60.12
Fractional coordinates of all 4 atoms:
Cu  0.242  0.242  0.228
Cu  0.758  0.758  0.772
Te  0.000  0.000  0.500
Se  0.500  0.500  0.000

No. 18
The following is a PBEsol calculation of a geometry-optimized ZrScCr2 structure, from Alexandria via LeMat-Bulk.

Summary:
- Density of states at the Fermi level: 6.07 states/eV/f.u.
- Calculated formation energy: 0.52 eV/atom
- Total moment: 0.20 μB per atom

a b c (Å): 5.090 5.090 2.794
angles (deg): 100.86 100.86 111.98
Fractional coordinates of all 4 atoms:
Zr  0.000  0.000  0.000
Sc  0.500  0.500  0.000
Cr  0.000  0.500  0.500
Cr  0.500  0.000  0.500

No. 19
The following is a PBEsol calculation of a geometry-optimized BaLi2Mg structure, from Alexandria via LeMat-Bulk.

Summary:
- Density of states at the Fermi level: 3.18 states/eV/f.u.
- Calculated formation energy: 0.03 eV/atom
- Total moment: 0.00 μB per atom

a b c (Å): 6.587 6.587 6.587
angles (deg): 45.07 45.07 45.07
Fractional coordinates of all 4 atoms:
Ba  0.000  0.000  0.000
Li  0.198  0.198  0.198
Li  0.502  0.502  0.502
Mg  0.798  0.798  0.798

No. 20
The following is a PBEsol calculation of a geometry-optimized LaOsW2 structure, from Alexandria via LeMat-Bulk.

Summary:
- Density of states at the Fermi level: 3.75 states/eV/f.u.
- Calculated formation energy: 0.60 eV/atom
- Total moment: 0.00 μB per atom

a b c (Å): 5.357 5.357 5.080
angles (deg): 102.98 102.98 33.08
Fractional coordinates of all 4 atoms:
La  0.000  0.000  0.000
Os  0.500  0.500  0.500
W  0.216  0.216  0.672
W  0.784  0.784  0.328

no.,E (Ry/atom)
1,-0.5208
2,-0.3773
3,-0.4196
4,-0.5800
5,-0.5696
6,-0.4115
7,-0.4482
8,-0.3102
9,-0.3531
10,-0.4221
11,-0.6900
12,-0.1605
13,-0.4930
14,-0.6559
15,-0.1921
16,-0.1356
17,-0.2973
18,-0.6264
19,-0.1408
20,-0.7859